1.
Here is CaDyHgPt after structural relaxation from Alexandria via LeMat-Bulk. Energies are from PBE-GGA.

a b c (Å): 5.0895 5.0895 5.0895
angles (deg): 60.00 60.00 60.00
Atoms (fractional coordinates):
Ca (0.5000, 0.5000, 0.5000)
Dy (0.0000, 0.0000, 0.0000)
Pt (0.7500, 0.7500, 0.7500)
Hg (0.2500, 0.2500, 0.2500)

Calculated values
As for the energy: -3.99 eV/atom. The value obtained for the formation enthalpy at 0 K is -0.7541 eV per atom.

2.
Here is CaDyHgSb after structural relaxation from Alexandria via LeMat-Bulk. Energies are from PBE-GGA.

a b c (Å): 5.3502 5.3502 5.3502
angles (deg): 60.00 60.00 60.00
Atoms (fractional coordinates):
Ca (0.5000, 0.5000, 0.5000)
Dy (0.0000, 0.0000, 0.0000)
Hg (0.7500, 0.7500, 0.7500)
Sb (0.2500, 0.2500, 0.2500)

Calculated values
As for the energy: -3.37 eV/atom. As for the formation energy without anion corrections: -0.616 eV per atom.